12
Lattice="-2.060 3.666 -1.203 -7.373 -2.936 3.677 5.276 2.885 7.711" Properties=species:S:1:pos:R:3 comment="PBE Tb3Er2TmSb6, relaxed" raw_formation_energy_ev_per_atom=-1.117 dos_at_fermi_per_ev_cell=1.90 total_magnetization_mub_per_fu=0.0 pbc="T T T"
Sb -0.249 3.146 2.065
Sb -1.817 -0.719 0.919
Sb -3.893 1.707 3.916
Sb -2.340 4.335 9.266
Sb -3.908 0.469 8.120
Sb -0.264 1.908 6.269
Tb 0.569 4.487 4.749
Tb -4.717 0.365 1.237
Tb -4.727 -0.872 5.436
Er -3.116 3.021 6.592
Er -1.041 0.594 3.593
Tm -1.030 1.833 -0.601